Record 1
The following is a GGA-PBE calculation of a relaxed Al2SiIr crystal, from Alexandria.

Cell lengths 2.7689, 4.2101, 11.1859 Å; angles 90.00, 90.00, 90.00 degrees
Last column: nearest neighbours and their distance in Å.
Space group Imm2 (No. 44)
Symmetry-distinct sites (fractional):
Al 0.0000 0.0000 0.0000 (multiplicity 2)  2 Ir 2.66, 2 Al 2.77, 4 Si 2.79
Al 0.0000 0.5000 0.1997 (multiplicity 2)  4 Ir 2.52, 2 Al 2.77
Si 0.0000 0.0000 0.3928 (multiplicity 2)  2 Ir 2.53, 2 Si 2.77, 4 Al 2.79
Ir 0.0000 0.5000 0.7035 (multiplicity 2)  6 Al 2.52-2.66, 2 Si 2.53, 2 Ir 2.77

Results
energy above the most stable polymorph in this dataset = 0.500 eV/f.u.
crystal system = orthorhombic
uncorrected formation energy = -0.34 eV/atom
calculated density = 7.0 g cm⁻³
energy = -46.29 eV for the cell shown


Record 2
The following is a GGA-PBE calculation of a relaxed AlSiIr2 crystal, from Alexandria.

Cell lengths 6.1599, 6.1599, 6.1599 Å; angles 90.00, 90.00, 90.00 degrees
Last column: nearest neighbours and their distance in Å.
Space group F-43m (No. 216)
Symmetry-distinct sites (fractional):
Al 0.0000 0.0000 0.0000 (multiplicity 4)  4 Ir 2.67, 4 Si 2.67
Si 0.2500 0.2500 0.2500 (multiplicity 4)  4 Al 2.67, 4 Ir 2.67
Ir 0.0000 0.0000 0.5000 (multiplicity 4)  4 Ir 2.67, 4 Si 2.67
Ir 0.2500 0.2500 0.7500 (multiplicity 4)  4 Al 2.67, 4 Ir 2.67

Results
crystal system = cubic
uncorrected formation energy = 0.01 eV/atom
calculated density = 12.5 g cm⁻³
energy = -107.43 eV for the cell shown